A relaxed Y4MgCo2 crystal, computed with PBE.

Unit cell a=7.0152 b=7.0796 c=8.9524 alpha=125.94 beta=104.43 gamma=86.06
With the nearest neighbours (Å) after each atom.
Atoms (fractional coordinates):
Mg: 0.1710 0.6686 0.5455  7 Y 3.11-3.42, 1 Mg 3.21
Mg: 0.1349 0.1275 0.9513  2 Co 2.86, 3 Y 3.07-3.19
Y: 0.8732 0.9714 0.1198  3 Co 2.65-2.92
Y: 0.3724 0.6096 0.2491  3 Co 2.70-2.86
Y: 0.8349 0.5129 0.1619  3 Co 2.68-2.89
Y: 0.4887 0.1270 0.7864  2 Co 2.86-2.87, 1 Mg 3.19
Y: 0.3801 0.7021 0.9145  4 Co 2.72-2.99
Y: 0.7577 0.6090 0.5999  1 Co 2.67
Y: 0.3917 0.2045 0.4083  2 Co 2.58-2.79
Y: 0.9172 0.1237 0.5934  3 Co 2.68-2.73
Co: 0.5433 0.2038 0.1476  6 Y 2.72-3.02, 1 Mg 2.86, 1 Co 2.95
Co: 0.0459 0.5238 0.9444  1 Co 2.33
Co: 0.6323 0.8890 0.2653  6 Y 2.58-2.72
Co: 0.7065 0.4769 0.8125  1 Co 2.33

Values from the calculation:
Theoretical density ... 4.77 g cm⁻³
Formation energy from the elements ... -0.034 eV/atom
DOS at the Fermi energy ... 13.52 states/eV per cell
Space-group type ... P1